[1]
Here is a geometry-optimized Cs3HoCl6 structure from OQMD. Energies are from PBE.

## Properties
SG = P2_1/c (14)
excess energy over the best structure of this formula in the dataset = 0 meV per atom

Lattice parameters (Å, degrees): 8.0252 8.4306 13.9170 90.00 124.72 90.00
With the nearest neighbours (Å) after each atom.
Positions (direct):
Cs 0.0000 0.0000 0.0000  6 Cl 3.37-3.46
Cs 0.0000 0.5000 0.5000  6 Cl 3.37-3.46
Cs 0.2246 0.0616 0.7462  6 Cl 3.47-3.79
Cs 0.2246 0.4384 0.2462  6 Cl 3.47-3.79
Cs 0.7754 0.5616 0.7538  6 Cl 3.47-3.79
Cs 0.7754 0.9384 0.2538  6 Cl 3.47-3.79
Ho 0.5000 0.0000 0.5000  6 Cl 2.64-2.65
Ho 0.5000 0.5000 0.0000  6 Cl 2.64-2.65
Cl 0.1896 0.1737 0.4544  1 Ho 2.64
Cl 0.1896 0.3263 0.9544  1 Ho 2.64
Cl 0.2707 0.7422 0.4349  1 Ho 2.65
Cl 0.2707 0.7578 0.9349  1 Ho 2.65
Cl 0.3901 0.0449 0.2838  1 Ho 2.64
Cl 0.3901 0.4551 0.7838  1 Ho 2.64
Cl 0.6099 0.5449 0.2162  1 Ho 2.64
Cl 0.6099 0.9551 0.7162  1 Ho 2.64
Cl 0.7293 0.2422 0.0651  1 Ho 2.65
Cl 0.7293 0.2578 0.5651  1 Ho 2.65
Cl 0.8104 0.6737 0.0456  1 Ho 2.64
Cl 0.8104 0.8263 0.5456  1 Ho 2.64

***

[2]
Here is a geometry-optimized SmPaZn structure from OQMD. Energies are from PBE.

## Properties
SG = F-43m (216)
excess energy over the best structure of this formula in the dataset = 0 meV per atom
energy relative to the elements = 0.4305 eV/atom

Lattice parameters (Å, degrees): 4.8640 4.8640 4.8640 60.00 60.00 60.00
With the nearest neighbours (Å) after each atom.
Positions (direct):
Sm 0.0000 0.0000 0.0000  4 Zn 2.98
Pa 0.5000 0.5000 0.5000  4 Zn 2.98
Zn 0.7500 0.7500 0.7500  4 Pa 2.98, 4 Sm 2.98

***

[3]
Here is a geometry-optimized LaTbEr structure from OQMD. Energies are from PBE.

## Properties
SG = F-43m (216)
excess energy over the best structure of this formula in the dataset = 0 meV per atom
energy relative to the elements = 0.6895 eV/atom

Lattice parameters (Å, degrees): 5.4973 5.4973 5.4973 60.00 60.00 60.00
With the nearest neighbours (Å) after each atom.
Positions (direct):
La 0.0000 0.0000 0.0000  4 Er 3.37
Tb 0.5000 0.5000 0.5000  4 Er 3.37
Er 0.2500 0.2500 0.2500  4 Tb 3.37, 4 La 3.37

***

[4]
Here is a geometry-optimized YReO4 structure from OQMD. Energies are from PBE.

## Properties
SG = C2/c (15)
electronic total energy = -8.71 eV/atom

Lattice parameters (Å, degrees): 6.4704 6.4704 5.0441 110.14 110.14 115.64
With the nearest neighbours (Å) after each atom.
Positions (direct):
Y 0.1358 0.8642 0.7500  8 O 2.29-2.48
Y 0.8642 0.1358 0.2500  8 O 2.29-2.48
Re 0.4048 0.5952 0.2500  4 O 1.89-1.94
Re 0.5952 0.4048 0.7500  4 O 1.89-1.94
O 0.1390 0.5622 0.3455  1 Re 1.89
O 0.2333 0.2914 0.7834  1 Re 1.94
O 0.2914 0.2333 0.2834  1 Re 1.94
O 0.4378 0.8610 0.1545  1 Re 1.89
O 0.5622 0.1390 0.8455  1 Re 1.89
O 0.7086 0.7667 0.7166  1 Re 1.94
O 0.7667 0.7086 0.2166  1 Re 1.94
O 0.8610 0.4378 0.6545  1 Re 1.89

***

[5]
Here is a geometry-optimized LaHfMgCo structure from OQMD. Energies are from PBE.

## Properties
SG = F-43m (216)
excess energy over the best structure of this formula in the dataset = 82 meV per atom

Lattice parameters (Å, degrees): 4.8428 4.8428 4.8428 60.00 60.00 60.00
With the nearest neighbours (Å) after each atom.
Positions (direct):
La 0.0000 0.0000 0.0000  4 Mg 2.97, 4 Hf 2.97
Hf 0.2500 0.2500 0.2500  4 La 2.97, 4 Co 2.97
Mg 0.7500 0.7500 0.7500  4 La 2.97, 4 Co 2.97
Co 0.5000 0.5000 0.5000  4 Mg 2.97, 4 Hf 2.97

***

[6]
Here is a geometry-optimized ErTlFeS3 structure from OQMD. Energies are from PBE.

## Properties
SG = Cmcm (63)
excess energy over the best structure of this formula in the dataset = 14 meV per atom

Lattice parameters (Å, degrees): 7.4075 7.4075 10.3525 90.00 90.00 149.20
With the nearest neighbours (Å) after each atom.
Positions (direct):
Er 0.0000 0.0000 0.0000  6 S 2.72-2.73
Er 0.0000 0.0000 0.5000  6 S 2.72-2.73
Tl 0.2529 0.7471 0.7500  6 S 3.31-3.32
Tl 0.7471 0.2529 0.2500  6 S 3.31-3.32
Fe 0.4683 0.5317 0.2500  4 S 2.28-2.36
Fe 0.5317 0.4683 0.7500  4 S 2.28-2.36
S 0.0599 0.9401 0.2500  2 Fe 2.36
S 0.3784 0.6216 0.0675  1 Fe 2.28
S 0.3784 0.6216 0.4325  1 Fe 2.28
S 0.6216 0.3784 0.5675  1 Fe 2.28
S 0.6216 0.3784 0.9325  1 Fe 2.28
S 0.9401 0.0599 0.7500  2 Fe 2.36

***

[7]
Here is a geometry-optimized Re2AgPd structure from OQMD. Energies are from PBE.

## Properties
SG = F-43m (216)
energy relative to the elements = 0.5700 eV/atom

Lattice parameters (Å, degrees): 4.4395 4.4395 4.4395 60.00 60.00 60.00
With the nearest neighbours (Å) after each atom.
Positions (direct):
Re 0.0000 0.0000 0.0000  4 Re 2.72, 4 Pd 2.72
Re 0.2500 0.2500 0.2500  4 Re 2.72, 4 Ag 2.72
Ag 0.5000 0.5000 0.5000  4 Re 2.72, 4 Pd 2.72
Pd 0.7500 0.7500 0.7500  4 Re 2.72, 4 Ag 2.72

***

[8]
Here is a geometry-optimized Tb2HoNi2B2C3 structure from OQMD. Energies are from PBE.

## Properties
SG = I4/mmm (139)
electronic total energy = -7.02 eV/atom

Lattice parameters (Å, degrees): 10.4752 10.4752 10.4752 160.26 160.26 28.06
With the nearest neighbours (Å) after each atom.
Positions (direct):
Tb 0.1231 0.1231 0.0000  5 C 2.50-2.54
Tb 0.8769 0.8769 0.0000  5 C 2.50-2.54
Ho 0.5000 0.5000 0.0000  6 C 2.51-2.54
Ni 0.2500 0.7500 0.5000  4 B 2.10
Ni 0.7500 0.2500 0.5000  4 B 2.10
B 0.3036 0.3036 0.0000  1 C 1.48
B 0.6964 0.6964 0.0000  1 C 1.48
C 0.0000 0.0000 0.0000  2 Tb 2.50, 4 Ho 2.54
C 0.3767 0.3767 0.0000  1 B 1.48
C 0.6233 0.6233 0.0000  1 B 1.48

***

What did the seventh record say?
Here is a geometry-optimized Re2AgPd structure from OQMD. Energies are from PBE.

## Properties
SG = F-43m (216)
energy relative to the elements = 0.5700 eV/atom

Lattice parameters (Å, degrees): 4.4395 4.4395 4.4395 60.00 60.00 60.00
With the nearest neighbours (Å) after each atom.
Positions (direct):
Re 0.0000 0.0000 0.0000  4 Re 2.72, 4 Pd 2.72
Re 0.2500 0.2500 0.2500  4 Re 2.72, 4 Ag 2.72
Ag 0.5000 0.5000 0.5000  4 Re 2.72, 4 Pd 2.72
Pd 0.7500 0.7500 0.7500  4 Re 2.72, 4 Ag 2.72